VASP calculation (PBE-GGA) on crystalline LaPm2DyP4 at its relaxed geometry.

Results
N(E_F)   0.68 states/eV/cell
E_form   -1.56 eV per atom

Lattice parameters (Å, degrees): 4.141 7.167 7.164 70.59 90.00 90.00
Positions (direct):
1 P 0.500 0.747 0.257
2 P 0.000 0.248 0.257
3 P 0.500 0.253 0.743
4 P 0.000 0.752 0.743
5 Dy 0.000 0.500 0.500
6 La 0.500 0.500 0.000
7 Pm 0.500 0.000 0.500
8 Pm 0.000 0.000 0.000



VASP calculation (PBE-GGA) on crystalline PrDyAlAu at its relaxed geometry.

Results
N(E_F)   4.42 states/eV/cell
E_form   -0.50 eV per atom

Lattice parameters (Å, degrees): 5.242 5.242 5.242 60.00 60.00 60.00
Positions (direct):
1 Al 0.500 0.500 0.500
2 Au 0.000 0.000 0.000
3 Pr 0.250 0.250 0.250
4 Dy 0.750 0.750 0.750



VASP calculation (PBE-GGA) on crystalline Pm2MgTiO6 at its relaxed geometry.

Results
ΔE_f (raw)   -3233 meV/atom
N(E_F)   0.00 states/eV/cell

Lattice parameters (Å, degrees): 5.457 5.674 7.807 90.00 89.93 90.00
Positions (direct):
1 O 0.693 0.290 0.554
2 O 0.098 0.468 0.757
3 O 0.807 0.790 0.946
4 O 0.598 0.032 0.257
5 O 0.709 0.305 0.950
6 O 0.193 0.210 0.054
7 O 0.209 0.195 0.450
8 O 0.902 0.532 0.243
9 O 0.402 0.968 0.743
10 O 0.307 0.710 0.446
11 O 0.791 0.805 0.550
12 O 0.291 0.695 0.050
13 Mg 0.000 0.500 0.500
14 Mg 0.500 0.000 0.000
15 Pm 0.514 0.558 0.751
16 Pm 0.014 0.942 0.251
17 Pm 0.986 0.058 0.749
18 Pm 0.486 0.442 0.249
19 Ti 0.000 0.500 0.000
20 Ti 0.500 0.000 0.500



VASP calculation (PBE-GGA) on crystalline MnCr at its relaxed geometry.

Results
N(E_F)   5.51 states/eV/cell
E_form   0.23 eV per atom

Lattice parameters (Å, degrees): 2.376 4.141 4.647 90.00 90.00 90.00
Positions (direct):
1 Cr 0.500 0.500 0.801
2 Cr 0.000 0.000 0.033
3 Mn 0.000 0.500 0.307
4 Mn 0.500 0.000 0.526



VASP calculation (PBE-GGA) on crystalline Zr2ScPtC at its relaxed geometry.

Results
N(E_F)   5.15 states/eV/cell
E_form   -0.66 eV per atom

Lattice parameters (Å, degrees): 4.528 4.528 4.358 90.00 90.00 90.00
Positions (direct):
1 Pt 0.500 0.500 0.500
2 C 0.000 0.000 0.000
3 Zr 0.500 0.000 0.000
4 Zr 0.000 0.500 0.000
5 Sc 0.000 0.000 0.500



VASP calculation (PBE-GGA) on crystalline Y2ErTm6Sc3 at its relaxed geometry.

Results
N(E_F)   19.01 states/eV/cell
E_form   0.05 eV per atom

Lattice parameters (Å, degrees): 5.983 5.983 11.397 95.01 95.01 119.96
Positions (direct):
1 Sc 0.833 0.167 0.500
2 Sc 0.500 0.500 0.500
3 Sc 0.167 0.833 0.500
4 Tm 0.246 0.246 0.741
5 Tm 0.581 0.914 0.741
6 Tm 0.754 0.754 0.259
7 Tm 0.914 0.581 0.741
8 Tm 0.419 0.086 0.259
9 Tm 0.086 0.419 0.259
10 Y 0.667 0.333 0.000
11 Y 0.333 0.667 0.000
12 Er 0.000 0.000 0.000



VASP calculation (PBE-GGA) on crystalline PuTiGa3 at its relaxed geometry.

Results
N(E_F)   18.63 states/eV/cell
E_form   -0.25 eV per atom

Lattice parameters (Å, degrees): 5.529 5.829 5.908 90.00 90.11 90.00
Positions (direct):
1 Ga 0.837 0.250 0.459
2 Ga 0.845 0.977 0.827
3 Ga 0.155 0.477 0.173
4 Ga 0.163 0.750 0.541
5 Ga 0.155 0.023 0.173
6 Ga 0.845 0.523 0.827
7 Pu 0.666 0.750 0.337
8 Pu 0.334 0.250 0.663
9 Ti 0.573 0.250 0.099
10 Ti 0.427 0.750 0.901



VASP calculation (PBE-GGA) on crystalline PuScTlOs at its relaxed geometry.

Results
N(E_F)   5.53 states/eV/cell
E_form   -0.23 eV per atom

Lattice parameters (Å, degrees): 3.246 3.246 8.197 90.00 90.00 90.00
Positions (direct):
1 Sc 0.500 0.500 0.366
2 Os 0.000 0.000 0.555
3 Tl 0.000 0.000 0.087
4 Pu 0.500 0.500 0.776



VASP calculation (PBE-GGA) on crystalline TbScPbSe at its relaxed geometry.

Results
ΔE_f (raw)   -983 meV/atom
N(E_F)   1.88 states/eV/cell

Lattice parameters (Å, degrees): 3.739 3.737 8.615 90.00 102.55 119.98
Positions (direct):
1 Tb 0.991 0.393 0.399
2 Se 0.481 0.139 0.635
3 Pb 0.125 0.961 0.102
4 Sc 0.281 0.538 0.834



VASP calculation (PBE-GGA) on crystalline CeSm3Y2P6 at its relaxed geometry.

Results
N(E_F)   5.13 states/eV/cell
E_form   -1.59 eV per atom

Lattice parameters (Å, degrees): 7.044 7.044 7.055 99.58 99.58 119.99
Positions (direct):
1 Sm 0.833 0.167 0.500
2 Sm 0.167 0.833 0.500
3 Sm 0.500 0.500 0.500
4 Ce 0.000 0.000 0.000
5 P 0.414 0.081 0.245
6 P 0.251 0.251 0.756
7 P 0.586 0.919 0.755
8 P 0.081 0.414 0.245
9 P 0.749 0.749 0.244
10 P 0.919 0.586 0.755
11 Y 0.333 0.667 0.000
12 Y 0.667 0.333 0.000



VASP calculation (PBE-GGA) on crystalline ScCoRe3 at its relaxed geometry.

Results
Excess energy over the best structure of this formula in the dataset   1566 meV per atom
N(E_F)   9.22 states/eV/cell
E_form   2.71 eV per atom

Lattice parameters (Å, degrees): 4.517 4.517 4.517 90.00 90.00 90.00
Positions (direct):
1 Sc 0.000 0.000 0.000
2 Re 0.000 0.500 0.000
3 Re 0.500 0.000 0.000
4 Re 0.000 0.000 0.500
5 Co 0.500 0.500 0.500



VASP calculation (PBE-GGA) on crystalline HfNbTlMo2 at its relaxed geometry.

Results
N(E_F)   8.84 states/eV/cell
E_form   1.97 eV per atom

Lattice parameters (Å, degrees): 4.741 5.301 4.741 90.00 90.00 90.00
Positions (direct):
1 Mo 0.500 0.000 0.000
2 Mo 0.000 0.000 0.500
3 Tl 0.000 0.500 0.000
4 Hf 0.000 0.000 0.000
5 Nb 0.500 0.500 0.500